Material: InAsIr2
Method: DFT, meta-GGA SCAN
State: single point on PBEsol structure

abc: 2.9157 2.9157 8.8181
angles: 90.00 90.00 119.83
Closest atoms and distances in Å follow each position.
Element x y z (fractional)
As (0.5000, 0.5000, 0.5000)  4 Ir 2.56
Ir (0.0000, 0.0000, 0.2618)  2 As 2.56, 2 In 2.73
Ir (0.0000, 0.0000, 0.7382)  2 As 2.56, 2 In 2.73
In (0.5000, 0.5000, 0.0000)  4 Ir 2.73, 6 In 2.92

## Properties
relative energy among the computed polymorphs	262.9	meV per atom
SG	Cmmm
total DFT energy (no corrections)	-48.575	eV per atom
E_form	0.369	eV/atom
magnetic moment	0.00	μB/f.u.

Material: KIn2As
Method: DFT, meta-GGA SCAN
State: single point on PBEsol structure

abc: 4.2133 5.5392 5.8851
angles: 118.07 110.98 90.00
Closest atoms and distances in Å follow each position.
Element x y z (fractional)
As (0.7158, 0.2158, 0.4317)  2 In 2.71
In (0.0361, 0.0361, 0.0722)  2 As 2.71
In (0.2698, 0.7698, 0.5397)  4 In 3.29-3.55, 4 K 3.40-3.48, 4 As 3.52
K (0.4782, 0.4782, 0.9564)  4 As 3.26-3.57, 8 In 3.40-3.52

## Properties
SG	Imm2
total DFT energy (no corrections)	-23.917	eV per atom
E_form	-0.094	eV/atom
magnetic moment	0.00	μB/f.u.